No. 1
VASP calculation (PBE-GGA) on Y5TmCd3 after structural relaxation.

crystal system: hexagonal
calculated density: 6.237 Mg/m³
space group: No. 193
final energy: -4.61 eV per atom
spin magnetization: 0.00 μB/f.u.

Lattice parameters (Å, degrees): 9.190 9.190 6.920 90.00 90.00 120.00
Atoms (fractional coordinates):
Y1 0.000 0.331 0.250
Y2 0.000 0.669 0.750
Y3 0.331 0.000 0.250
Y4 0.331 0.331 0.750
Y5 0.333 0.667 0.000
Y6 0.333 0.667 0.500
Y7 0.667 0.333 0.000
Y8 0.667 0.333 0.500
Y9 0.669 0.000 0.750
Y10 0.669 0.669 0.250
Tm1 0.000 0.000 0.000
Tm2 0.000 0.000 0.500
Cd1 0.000 0.335 0.750
Cd2 0.000 0.665 0.250
Cd3 0.335 0.000 0.750
Cd4 0.335 0.335 0.250
Cd5 0.665 0.000 0.250
Cd6 0.665 0.665 0.750

No. 2
VASP calculation (PBE-GGA) on YTm8Cd2 after structural relaxation.

crystal system: monoclinic
calculated density: 7.737 Mg/m³
space group: No. 12
final energy: -3.68 eV per atom
spin magnetization: 0.00 μB/f.u.

Lattice parameters (Å, degrees): 8.163 8.163 5.479 98.25 98.25 87.20
Atoms (fractional coordinates):
Y1 0.000 0.000 0.000
Tm1 0.137 0.647 0.214
Tm2 0.270 0.270 0.126
Tm3 0.353 0.863 0.786
Tm4 0.426 0.426 0.714
Tm5 0.574 0.574 0.286
Tm6 0.647 0.137 0.214
Tm7 0.730 0.730 0.874
Tm8 0.863 0.353 0.786
Cd1 0.138 0.138 0.549
Cd2 0.862 0.862 0.451

No. 3
VASP calculation (PBE-GGA) on Y2TmCd after structural relaxation.

crystal system: cubic
calculated density: 6.708 Mg/m³
space group: No. 225
final energy: -4.61 eV per atom
spin magnetization: 0.07 μB/f.u.

Lattice parameters (Å, degrees): 5.437 5.437 5.437 60.00 60.00 60.00
Atoms (fractional coordinates):
Y1 0.250 0.250 0.250
Y2 0.750 0.750 0.750
Tm1 0.000 0.000 0.000
Cd1 0.500 0.500 0.500

No. 4
VASP calculation (PBE-GGA) on YTm2Cd2 after structural relaxation.

crystal system: monoclinic
calculated density: 8.116 Mg/m³
space group: No. 11
final energy: -3.71 eV per atom
spin magnetization: 0.00 μB/f.u.

Lattice parameters (Å, degrees): 3.694 5.299 13.747 90.00 97.74 90.00
Atoms (fractional coordinates):
Y1 0.149 0.250 0.297
Y2 0.851 0.750 0.703
Tm1 0.046 0.750 0.092
Tm2 0.236 0.750 0.473
Tm3 0.764 0.250 0.527
Tm4 0.954 0.250 0.908
Cd1 0.358 0.250 0.717
Cd2 0.450 0.750 0.901
Cd3 0.550 0.250 0.099
Cd4 0.642 0.750 0.283

No. 5
VASP calculation (PBE-GGA) on Y8Tm2Cd after structural relaxation.

crystal system: monoclinic
calculated density: 5.624 Mg/m³
space group: No. 12
final energy: -5.62 eV per atom
spin magnetization: 0.00 μB/f.u.

Lattice parameters (Å, degrees): 10.059 10.059 6.403 94.70 94.70 32.09
Atoms (fractional coordinates):
Y1 0.045 0.045 0.262
Y2 0.155 0.155 0.801
Y3 0.339 0.339 0.875
Y4 0.421 0.421 0.400
Y5 0.579 0.579 0.600
Y6 0.661 0.661 0.125
Y7 0.845 0.845 0.199
Y8 0.955 0.955 0.738
Tm1 0.243 0.243 0.336
Tm2 0.757 0.757 0.664
Cd1 0.500 0.500 0.000

No. 6
VASP calculation (PBE-GGA) on Y2Tm2Cd after structural relaxation.

crystal system: tetragonal
calculated density: 6.591 Mg/m³
space group: No. 141
final energy: -4.50 eV per atom
spin magnetization: 0.00 μB/f.u.

Lattice parameters (Å, degrees): 12.876 12.876 12.876 157.34 157.34 32.26
Atoms (fractional coordinates):
Y1 0.050 0.300 0.750
Y2 0.300 0.050 0.250
Y3 0.700 0.950 0.750
Y4 0.950 0.700 0.250
Tm1 0.199 0.449 0.750
Tm2 0.449 0.199 0.250
Tm3 0.551 0.801 0.750
Tm4 0.801 0.551 0.250
Cd1 0.125 0.875 0.250
Cd2 0.875 0.125 0.750